Record 1
## SiTcGePd2 (PBE)

Data for a relaxed structure of SiTcGePd2.

abc: 4.549 4.549 4.692
angles: 90.00 90.00 90.00
Fractional coordinates of all 5 atoms:
Si 0.000 0.000 0.000
Tc 0.500 0.500 0.000
Ge 0.500 0.500 0.500
Pd 0.000 0.500 0.500
Pd 0.500 0.000 0.500

Calculated values
* DFT total energy: -5.392 eV/atom
* crystal system: tetragonal
* ΔE_f (raw): 0.767 eV/atom



Record 2
## TiAsPd4 (PBE)

Data for a relaxed structure of TiAsPd4.

abc: 6.470 6.417 5.248
angles: 90.00 90.19 90.00
Fractional coordinates of all 12 atoms:
Ti 0.000 0.000 0.000
Ti 0.000 0.500 0.500
As 0.500 0.000 0.500
As 0.500 0.500 0.000
Pd 0.152 0.142 0.499
Pd 0.152 0.358 0.999
Pd 0.259 0.749 0.250
Pd 0.259 0.751 0.750
Pd 0.741 0.249 0.250
Pd 0.741 0.251 0.750
Pd 0.848 0.642 0.001
Pd 0.848 0.858 0.501

Calculated values
* DFT total energy: -5.835 eV/atom
* crystal system: monoclinic
* formation enthalpy at 0 K: -0.283 eV per atom



Record 3
## Dy2In3Hg2 (PBE)

Data for a relaxed structure of Dy2In3Hg2.

abc: 10.868 10.868 3.566
angles: 90.00 90.00 154.78
Fractional coordinates of all 7 atoms:
Dy 0.156 0.844 0.000
Dy 0.844 0.156 0.000
In 0.000 0.000 0.000
In 0.427 0.573 0.500
In 0.573 0.427 0.500
Hg 0.288 0.712 0.500
Hg 0.712 0.288 0.500

Calculated values
* DFT total energy: -2.878 eV/atom
* crystal system: orthorhombic
* formation enthalpy at 0 K: -0.303 eV per atom



Record 4
## LaY2InB (PBE)

Data for a relaxed structure of LaY2InB.

abc: 5.156 5.156 5.083
angles: 90.00 90.00 90.00
Fractional coordinates of all 5 atoms:
La 0.000 0.000 0.000
Y 0.000 0.500 0.500
Y 0.500 0.000 0.500
In 0.500 0.500 0.000
B 0.000 0.000 0.500

Calculated values
* DFT total energy: -5.715 eV/atom
* crystal system: tetragonal
* formation enthalpy at 0 K: -0.261 eV per atom



Record 5
## Pu2ThTc3 (PBE)

Data for a relaxed structure of Pu2ThTc3.

abc: 7.030 7.030 7.030
angles: 111.58 89.44 129.95
Fractional coordinates of all 12 atoms:
Pu 0.226 0.154 0.072
Pu 0.418 0.846 0.572
Pu 0.582 0.154 0.428
Pu 0.774 0.846 0.928
Th 0.047 0.297 0.750
Th 0.953 0.703 0.250
Tc 0.000 0.316 0.316
Tc 0.000 0.684 0.684
Tc 0.500 0.000 0.000
Tc 0.500 0.316 0.816
Tc 0.500 0.500 0.500
Tc 0.500 0.684 0.184

Calculated values
* DFT total energy: -10.941 eV/atom
* crystal system: orthorhombic
* formation enthalpy at 0 K: 0.256 eV per atom



Record 6
## Hg2IrSe (PBE)

Data for a relaxed structure of Hg2IrSe.

abc: 2.995 2.995 9.371
angles: 90.00 90.00 90.00
Fractional coordinates of all 4 atoms:
Hg 0.000 0.000 0.206
Hg 0.000 0.000 0.794
Ir 0.500 0.500 0.000
Se 0.500 0.500 0.500

Calculated values
* DFT total energy: -2.727 eV/atom
* crystal system: tetragonal
* ΔE_f (raw): 0.510 eV/atom



Record 7
## NaPrSn (PBE)

Data for a relaxed structure of NaPrSn.

abc: 9.510 9.510 9.510
angles: 31.39 31.39 31.39
Fractional coordinates of all 6 atoms:
Na 0.135 0.135 0.135
Na 0.865 0.865 0.865
Pr 0.288 0.288 0.288
Pr 0.712 0.712 0.712
Sn 0.420 0.420 0.420
Sn 0.580 0.580 0.580

Calculated values
* DFT total energy: -3.596 eV/atom
* crystal system: trigonal
* formation enthalpy at 0 K: -0.229 eV per atom



Record 8
## K8Zr (PBE)

Data for a relaxed structure of K8Zr.

abc: 9.843 9.843 9.843
angles: 95.95 95.95 142.44
Fractional coordinates of all 9 atoms:
K 0.000 0.313 0.313
K 0.000 0.687 0.687
K 0.313 0.000 0.313
K 0.347 0.347 0.694
K 0.347 0.653 0.000
K 0.653 0.347 0.000
K 0.653 0.653 0.306
K 0.687 0.000 0.687
Zr 0.000 0.000 0.000

Calculated values
* DFT total energy: -1.504 eV/atom
* crystal system: tetragonal
* formation enthalpy at 0 K: 0.421 eV per atom